NdInGa (PBE, relaxed); formation enthalpy at 0 K = -0.528 eV per atom; SG = P3m1 (156); crystal system = trigonal
1.0
4.6015 0.0000 0.0000
-2.3008 3.9850 0.0000
0.0000 0.0000 4.1572
Nd In Ga
1 1 1
Direct
0.0000 0.0000 0.0000 Nd
0.6667 0.3333 0.4616 In
0.3333 0.6667 0.6015 Ga

***

Th6Bi2SbAs3 (PBE, relaxed); SG = C2/m (12); formation energy from raw total energies = -12.58 eV per formula unit; crystal system = monoclinic
1.0
9.6604 -2.1872 0.0000
9.6604 2.1872 0.0000
-2.2282 0.0000 8.6082
Th Bi Sb As
6 2 1 3
Direct
0.0077 0.0077 0.2365 Th
0.3279 0.3279 0.4359 Th
0.3410 0.3410 0.8967 Th
0.6590 0.6590 0.1033 Th
0.6721 0.6721 0.5641 Th
0.9923 0.9923 0.7635 Th
0.1667 0.1667 0.8344 Bi
0.8333 0.8333 0.1656 Bi
0.5000 0.5000 0.5000 Sb
0.1676 0.1676 0.3347 As
0.5000 0.5000 0.0000 As
0.8324 0.8324 0.6653 As

***

NaMgNp4N8 (PBE, relaxed); SG = R3m (160); formation energy from raw total energies = -11.80 eV per formula unit; crystal system = trigonal
1.0
3.4383 1.9851 5.1204
-3.4383 1.9851 5.1204
0.0000 -3.9702 5.1204
Na Mg Np N
1 1 4 8
Direct
0.0000 0.0000 0.0000 Na
0.6186 0.6186 0.6186 Mg
0.1128 0.6198 0.6198 Np
0.2297 0.2297 0.2297 Np
0.6198 0.1128 0.6198 Np
0.6198 0.6198 0.1128 Np
0.3771 0.3771 0.3771 N
0.3768 0.3768 0.8247 N
0.3768 0.8247 0.3768 N
0.4368 0.8570 0.8570 N
0.8247 0.3768 0.3768 N
0.8484 0.8484 0.8484 N
0.8570 0.4368 0.8570 N
0.8570 0.8570 0.4368 N

***

LiAcNiAu (PBE, relaxed); formation enthalpy at 0 K = -0.233 eV per atom; SG = F-43m (216); crystal system = cubic
1.0
0.0000 3.4374 3.4374
3.4374 0.0000 3.4374
3.4374 3.4374 0.0000
Li Ac Ni Au
1 1 1 1
Direct
0.0000 0.0000 0.0000 Li
0.2500 0.2500 0.2500 Ac
0.5000 0.5000 0.5000 Ni
0.7500 0.7500 0.7500 Au

***

Ag8Pd3Au2 (PBE, relaxed); formation enthalpy at 0 K = 0.011 eV per atom; SG = P2/m (10); crystal system = monoclinic; energy above the lowest structure with this stoichiometry = 0 meV per atom
1.0
6.4188 0.0000 0.0000
0.0000 4.1291 0.0000
-1.4462 0.0000 8.8903
Ag Pd Au
8 3 2
Direct
0.0717 0.0000 0.3591 Ag
0.0842 0.5000 0.8581 Ag
0.3625 0.0000 0.7874 Ag
0.3616 0.5000 0.2858 Ag
0.6375 0.0000 0.2126 Ag
0.6384 0.5000 0.7142 Ag
0.9158 0.5000 0.1419 Ag
0.9283 0.0000 0.6409 Ag
0.2137 0.5000 0.5698 Pd
0.5000 0.0000 0.5000 Pd
0.7863 0.5000 0.4302 Pd
0.2171 0.0000 0.0713 Au
0.7829 0.0000 0.9287 Au

***

ZrPPd2Cl (PBE, relaxed); SG = P4/mmm (123); formation energy from raw total energies = -1.50 eV per formula unit; crystal system = tetragonal
1.0
4.4736 0.0000 0.0000
0.0000 4.4736 0.0000
0.0000 0.0000 5.0858
Zr P Pd Cl
1 1 2 1
Direct
0.0000 0.0000 0.0000 Zr
0.0000 0.0000 0.5000 P
0.0000 0.5000 0.5000 Pd
0.5000 0.0000 0.5000 Pd
0.5000 0.5000 0.0000 Cl

***

Total energy readings, ordered: -4.0388 -6.9109 -9.5060 -4.0032 -3.4467 -5.5376 eV per atom